(1)
DFT (PBE-GGA) results for an optimized crystal structure of Th2CoIr.

Cell: 4.110 5.954 7.691 Å, 108.48 90.00 90.00°
Atoms (fractional coordinates):
Co (0.250, 0.300, 0.699)
Co (0.750, 0.700, 0.301)
Th (0.750, 0.228, 0.439)
Th (0.250, 0.772, 0.076)
Th (0.750, 0.228, 0.924)
Th (0.250, 0.772, 0.561)
Ir (0.250, 0.319, 0.203)
Ir (0.750, 0.681, 0.797)

(2)
DFT (PBE-GGA) results for an optimized crystal structure of TmThCoIr.

Cell: 4.880 4.880 4.880 Å, 60.00 60.00 60.00°
Atoms (fractional coordinates):
Tm (0.500, 0.500, 0.500)
Co (0.750, 0.750, 0.750)
Th (0.000, 0.000, 0.000)
Ir (0.250, 0.250, 0.250)

Number 1: DOS(E_F) 2.85 states/eV/f.u., total moment 0.0 μB/f.u., final energy -8.374 eV per atom. Number 2: DOS(E_F) 2.49 states/eV/f.u., total moment 0.0 μB/f.u., final energy -7.473 eV per atom.